DFT (PBE) results for crystalline Pm6ThSn4 at its relaxed geometry.

Values from the calculation:
The calculation puts the calculated volume at 35.15 A^3/atom. Its formation energy is -3.46 eV/f.u.

Lattice parameters (Å, degrees): 8.237 8.237 8.237 121.37 121.37 87.64
Sites, in units of the cell vectors:
1 Pm 0.000 0.500 0.500
2 Pm 0.170 0.170 0.682
3 Pm 0.489 0.489 0.318
4 Pm 0.500 0.000 0.500
5 Pm 0.511 0.830 0.000
6 Pm 0.830 0.511 0.000
7 Th 0.000 0.000 0.000
8 Sn 0.181 0.630 0.000
9 Sn 0.370 0.370 0.552
10 Sn 0.630 0.181 0.000
11 Sn 0.819 0.819 0.448



DFT (PBE) results for crystalline Li3Mg2Ag7 at its relaxed geometry.

Values from the calculation:
The calculation puts the calculated volume at 18.71 A^3/atom. Its formation energy is -0.79 eV/f.u.

Lattice parameters (Å, degrees): 4.613 3.111 15.793 90.00 97.93 90.00
Sites, in units of the cell vectors:
1 Li 0.000 0.000 0.000
2 Li 0.307 0.500 0.609
3 Li 0.693 0.500 0.391
4 Mg 0.134 0.000 0.280
5 Mg 0.866 0.000 0.720
6 Ag 0.063 0.500 0.133
7 Ag 0.226 0.000 0.450
8 Ag 0.421 0.000 0.834
9 Ag 0.500 0.500 0.000
10 Ag 0.579 0.000 0.166
11 Ag 0.774 0.000 0.550
12 Ag 0.937 0.500 0.867



DFT (PBE) results for crystalline ScSiIr3 at its relaxed geometry.

Values from the calculation:
The calculation puts the uncorrected formation energy at 8.20 eV/f.u. The calculation puts the calculated volume at 20.63 A^3/atom. The value obtained for the energy above the most stable polymorph in this dataset is 11.13 eV/f.u.

Lattice parameters (Å, degrees): 4.690 4.690 4.690 90.00 90.00 90.00
Sites, in units of the cell vectors:
1 Sc 0.000 0.000 0.000
2 Si 0.500 0.500 0.500
3 Ir 0.000 0.000 0.500
4 Ir 0.000 0.500 0.000
5 Ir 0.500 0.000 0.000



DFT (PBE) results for crystalline SbTePd2 at its relaxed geometry.

Values from the calculation:
The calculation puts the uncorrected formation energy at -1.61 eV/f.u. The calculation puts the calculated volume at 21.63 A^3/atom.

Lattice parameters (Å, degrees): 8.406 7.215 5.707 90.00 90.02 90.00
Sites, in units of the cell vectors:
1 Sb 0.120 0.085 0.251
2 Sb 0.120 0.415 0.751
3 Sb 0.880 0.585 0.249
4 Sb 0.880 0.915 0.749
5 Te 0.373 0.580 0.250
6 Te 0.373 0.920 0.750
7 Te 0.627 0.080 0.250
8 Te 0.627 0.420 0.750
9 Pd 0.122 0.749 0.500
10 Pd 0.122 0.751 0.000
11 Pd 0.366 0.250 0.001
12 Pd 0.366 0.250 0.501
13 Pd 0.634 0.750 0.499
14 Pd 0.634 0.750 0.999
15 Pd 0.878 0.249 0.000
16 Pd 0.878 0.251 0.500



Which of these has the highest calculated volume? Pm6ThSn4